(1)
# Cu3Os

A relaxed Cu3Os crystal (PBE-GGA, the Alexandria database).

Calculated values
Space group: P4/mmm
Raw total energy (eV/atom): -5.6053
Calculated volume (Å³ per cell): 50.83

Unit cell a=2.606 b=2.606 c=7.484 alpha=90.00 beta=90.00 gamma=90.00
Fractional coordinates of all 4 atoms:
Cu (0.000, 0.000, 0.000)
Cu (0.500, 0.500, 0.240)
Cu (0.500, 0.500, 0.760)
Os (0.000, 0.000, 0.500)

(2)
# CuOs3

A relaxed CuOs3 crystal (PBE-GGA, the Alexandria database).

Calculated values
Space group: R-3m
Raw total energy (eV/atom): -9.2171
Calculated volume (Å³ per cell): 168.40

Unit cell a=2.718 b=2.718 c=26.316 alpha=90.00 beta=90.00 gamma=120.00
Fractional coordinates of all 12 atoms:
Cu (0.000, 0.000, 0.000)
Cu (0.333, 0.667, 0.667)
Cu (0.667, 0.333, 0.333)
Os (0.000, 0.000, 0.250)
Os (0.000, 0.000, 0.500)
Os (0.000, 0.000, 0.750)
Os (0.333, 0.667, 0.167)
Os (0.333, 0.667, 0.417)
Os (0.333, 0.667, 0.916)
Os (0.667, 0.333, 0.084)
Os (0.667, 0.333, 0.583)
Os (0.667, 0.333, 0.833)

(3)
# CuOs2

A relaxed CuOs2 crystal (PBE-GGA, the Alexandria database).

Calculated values
Space group: Pnma
Raw total energy (eV/atom): -8.4253
Calculated volume (Å³ per cell): 165.73

Unit cell a=5.353 b=3.802 c=8.145 alpha=90.00 beta=90.00 gamma=90.00
Fractional coordinates of all 12 atoms:
Cu (0.114, 0.250, 0.085)
Cu (0.386, 0.750, 0.585)
Cu (0.614, 0.250, 0.415)
Cu (0.886, 0.750, 0.915)
Os (0.119, 0.250, 0.416)
Os (0.130, 0.250, 0.737)
Os (0.370, 0.750, 0.237)
Os (0.381, 0.750, 0.916)
Os (0.619, 0.250, 0.084)
Os (0.630, 0.250, 0.763)
Os (0.870, 0.750, 0.263)
Os (0.881, 0.750, 0.584)

(4)
# CuOs

A relaxed CuOs crystal (PBE-GGA, the Alexandria database).

Calculated values
Space group: I-43m
Raw total energy (eV/atom): -5.7232
Calculated volume (Å³ per cell): 429.23

Unit cell a=7.543 b=7.543 c=7.543 alpha=90.00 beta=90.00 gamma=90.00
Fractional coordinates of all 16 atoms:
Cu (0.199, 0.199, 0.199)
Cu (0.199, 0.801, 0.801)
Cu (0.301, 0.301, 0.699)
Cu (0.301, 0.699, 0.301)
Cu (0.699, 0.301, 0.301)
Cu (0.699, 0.699, 0.699)
Cu (0.801, 0.199, 0.801)
Cu (0.801, 0.801, 0.199)
Os (0.119, 0.119, 0.881)
Os (0.119, 0.881, 0.119)
Os (0.381, 0.381, 0.381)
Os (0.381, 0.619, 0.619)
Os (0.619, 0.381, 0.619)
Os (0.619, 0.619, 0.381)
Os (0.881, 0.119, 0.119)
Os (0.881, 0.881, 0.881)

These records have DFT formation energy values of 0.27; 0.23; 0.43; 1.94 eV per atom, in the order they appear.
These records have excess energy over the best structure of this formula in the dataset values of 2.02; 1.70; 4.86; 40.08 kcal/mol of atoms, in the order they appear.